[1]
First-principles (PBE-GGA) data for crystalline In2SnBiCl at its relaxed geometry, as listed in the Alexandria database.

POSCAR file:
```
In2SnBiCl
1.0
-2.1093 3.3363 -4.7817
4.0610 -2.5213 -3.5506
-4.0141 -4.5189 -1.3822
In Bi Cl Sn
2 1 1 1
direct
0.0000 0.0000 0.5000
0.5000 0.0000 0.0000
0.0000 0.0000 0.0000
0.5000 0.5000 0.5000
0.0000 0.5000 0.0000
```

Output
The formation energy without anion corrections comes out at 30.47 kJ per mole of atoms. Its symmetry is P4/mmm. Its density of states at the Fermi level is 0.48 states/eV/atom. The total energy is -13.628 eV for the cell shown.

---

[2]
First-principles (PBE-GGA) data for crystalline InSnBi2Cl at its relaxed geometry, as listed in the Alexandria database.

POSCAR file:
```
InSnBi2Cl
1.0
-1.9981 0.5517 -5.5295
4.4185 -2.2872 -1.8248
-2.5764 -5.2983 0.4024
Bi In Cl Sn
2 1 1 1
direct
0.0000 0.0000 0.5000
0.5000 0.0000 0.0000
0.5000 0.5000 0.5000
0.0000 0.5000 0.0000
0.0000 0.0000 0.0000
```

Output
The formation energy without anion corrections comes out at 20.10 kJ per mole of atoms. Its symmetry is P4/mmm. Its density of states at the Fermi level is 0.78 states/eV/atom. The total energy is -15.308 eV for the cell shown.